No. 1
DFT (PBE-GGA) results for crystalline SbHNF at its relaxed geometry.

a = 3.4326 Å, b = 3.9227 Å, c = 5.1242 Å
α = 83.29°, β = 88.55°, γ = 89.96°
Element x y z (fractional)
H  0.2073  0.3790  0.1917
Sb  0.2206  0.4130  0.8485
F  0.7317  0.8704  0.5453
N  0.7206  0.7697  0.8406

Properties
Its space-group type is P1, No. 1. For the offset from the most stable computed form, the calculation gives 951 meV/atom. The value obtained for the magnetic moment is 0.00 μB per cell.

***

No. 2
DFT (PBE-GGA) results for crystalline SbHNF at its relaxed geometry.

a = 4.2484 Å, b = 3.2892 Å, c = 4.7289 Å
α = 90.00°, β = 110.60°, γ = 90.00°
Element x y z (fractional)
F  0.5489  0.5000  0.0841
H  0.0445  0.0000  0.9550
N  0.8662  0.0000  0.7410
Sb  0.5465  0.5000  0.6521

Properties
Its space-group type is Pm, No. 6. For the offset from the most stable computed form, the calculation gives 0 meV/atom. The value obtained for the magnetic moment is 0.00 μB per cell.

***

No. 3
DFT (PBE-GGA) results for crystalline SbHNF at its relaxed geometry.

a = 3.5920 Å, b = 3.5920 Å, c = 5.1014 Å
α = 90.00°, β = 90.00°, γ = 120.00°
Element x y z (fractional)
Sb  0.3333  0.6667  0.7765
H  0.0000  0.0000  0.1758
F  0.6667  0.3333  0.5063
N  0.0000  0.0000  0.9736

Properties
Its space-group type is P3m1, No. 156. For the offset from the most stable computed form, the calculation gives 119 meV/atom. The value obtained for the magnetic moment is 0.00 μB per cell.

***

No. 4
DFT (PBE-GGA) results for crystalline ScHNF2 at its relaxed geometry.

a = 4.1115 Å, b = 4.1115 Å, c = 4.4813 Å
α = 90.00°, β = 90.00°, γ = 90.00°
Element x y z (fractional)
H  0.5000  0.5000  0.5000
F  0.5000  0.0000  0.0000
F  0.0000  0.5000  0.0000
Sc  0.0000  0.0000  0.0000
N  0.0000  0.0000  0.5000

Properties
Its space-group type is P4/mmm, No. 123. For the offset from the most stable computed form, the calculation gives 0 meV/atom. The value obtained for the magnetic moment is 3.00 μB per cell.

***

No. 5
DFT (PBE-GGA) results for crystalline ScHNF2 at its relaxed geometry.

a = 3.2381 Å, b = 3.2381 Å, c = 4.1113 Å
α = 90.00°, β = 90.00°, γ = 90.00°
Element x y z (fractional)
Sc  0.5000  0.5000  0.5000
H  0.0000  0.0000  0.0000
N  0.0000  0.0000  0.5000
F  0.5000  0.0000  0.0000
F  0.0000  0.5000  0.0000

Properties
Its space-group type is P4/mmm, No. 123. For the offset from the most stable computed form, the calculation gives 62 meV/atom. The value obtained for the magnetic moment is 0.99 μB per cell.

***

No. 6
DFT (PBE-GGA) results for crystalline SiHNF2 at its relaxed geometry.

a = 2.8634 Å, b = 2.8634 Å, c = 5.3058 Å
α = 90.00°, β = 90.00°, γ = 90.00°
Element x y z (fractional)
N  0.0000  0.0000  0.5000
F  0.0000  0.5000  0.0000
F  0.5000  0.0000  0.0000
H  0.0000  0.0000  0.0000
Si  0.5000  0.5000  0.5000

Properties
Its space-group type is P4/mmm, No. 123. For the offset from the most stable computed form, the calculation gives 619 meV/atom. The value obtained for the magnetic moment is 0.34 μB per cell.

***

No. 7
DFT (PBE-GGA) results for crystalline SiH12N4F4 at its relaxed geometry.

a = 5.3871 Å, b = 5.3871 Å, c = 13.2582 Å
α = 90.00°, β = 90.00°, γ = 98.04°
Element x y z (fractional)
H  0.6634  0.5682  0.1774
H  0.7205  0.2795  0.1637
H  0.3561  0.8776  0.5734
H  0.9318  0.8366  0.3226
H  0.6541  0.3459  0.3370
H  0.8561  0.3776  0.9266
H  0.3776  0.8561  0.0734
H  0.8366  0.9318  0.6774
H  0.1439  0.6224  0.0734
H  0.7795  0.2205  0.6637
H  0.3366  0.4318  0.8226
H  0.8459  0.1541  0.8370
H  0.1224  0.6439  0.5734
H  0.8776  0.3561  0.4266
H  0.1541  0.8459  0.1630
H  0.5682  0.6634  0.8226
H  0.4318  0.3366  0.1774
H  0.2795  0.7205  0.8363
H  0.6224  0.1439  0.9266
H  0.0682  0.1634  0.6774
H  0.1634  0.0682  0.3226
H  0.2205  0.7795  0.3363
H  0.3459  0.6541  0.6630
H  0.6439  0.1224  0.4266
F  0.2593  0.0850  0.9253
F  0.0850  0.2593  0.0747
F  0.2407  0.4150  0.4253
F  0.5850  0.7593  0.4253
F  0.7407  0.9150  0.0747
F  0.4150  0.2407  0.5747
F  0.7593  0.5850  0.5747
F  0.9150  0.7407  0.9253
N  0.8886  0.1114  0.7023
N  0.1877  0.8123  0.0854
N  0.3886  0.6114  0.7977
N  0.3123  0.6877  0.5854
N  0.6114  0.3886  0.2023
N  0.1114  0.8886  0.2977
N  0.8123  0.1877  0.9146
N  0.6877  0.3123  0.4146
Si  0.0000  0.0000  0.0000
Si  0.5000  0.5000  0.5000

Properties
Its space-group type is Cmce, No. 64. As for the total energy: -5.2233 eV/atom. The value obtained for the magnetic moment is 0.21 μB per cell.

***

No. 8
DFT (PBE-GGA) results for crystalline SiHNF2 at its relaxed geometry.

a = 3.6367 Å, b = 3.6367 Å, c = 3.4671 Å
α = 90.00°, β = 90.00°, γ = 90.00°
Element x y z (fractional)
H  0.5000  0.5000  0.5000
F  0.0000  0.5000  0.0000
F  0.5000  0.0000  0.0000
N  0.0000  0.0000  0.5000
Si  0.0000  0.0000  0.0000

Properties
Its space-group type is P4/mmm, No. 123. For the offset from the most stable computed form, the calculation gives 0 meV/atom. The value obtained for the magnetic moment is 0.00 μB per cell.

***

No. 9
DFT (PBE-GGA) results for crystalline SnH8N2F6 at its relaxed geometry.

a = 6.1983 Å, b = 6.1983 Å, c = 4.7902 Å
α = 90.00°, β = 90.00°, γ = 120.00°
Element x y z (fractional)
H  0.2434  0.4868  0.5934
H  0.7566  0.5132  0.4066
H  0.7566  0.2434  0.4066
H  0.3333  0.6667  0.8846
H  0.2434  0.7566  0.5934
H  0.6667  0.3333  0.1154
H  0.5132  0.7566  0.5934
H  0.4868  0.2434  0.4066
N  0.3333  0.6667  0.6700
N  0.6667  0.3333  0.3300
F  0.1550  0.8450  0.2340
F  0.8450  0.1550  0.7660
F  0.6899  0.8450  0.2340
F  0.3101  0.1550  0.7660
F  0.8450  0.6899  0.7660
F  0.1550  0.3101  0.2340
Sn  0.0000  0.0000  0.0000

Properties
Its space-group type is P-3m1, No. 164. As for the total energy: -4.8807 eV/atom. The value obtained for the magnetic moment is 0.00 μB per cell.

***

No. 10
DFT (PBE-GGA) results for crystalline SnH6N2F4 at its relaxed geometry.

a = 6.9025 Å, b = 5.2432 Å, c = 8.2641 Å
α = 65.59°, β = 90.00°, γ = 90.00°
Element x y z (fractional)
H  0.2216  0.5650  0.0284
H  0.6412  0.1499  0.0518
H  0.8588  0.1499  0.5518
H  0.3588  0.8501  0.9482
H  0.2784  0.5650  0.5284
H  0.7216  0.4350  0.4716
H  0.3169  0.6859  0.1699
H  0.7784  0.4350  0.9716
H  0.1831  0.6859  0.6699
H  0.1412  0.8501  0.4482
H  0.8169  0.3141  0.3301
H  0.6831  0.3141  0.8301
F  0.9966  0.0117  0.7531
F  0.3362  0.3509  0.4119
F  0.5034  0.0117  0.2531
F  0.8362  0.6491  0.0881
F  0.6638  0.6491  0.5881
F  0.1638  0.3509  0.9119
F  0.0034  0.9883  0.2469
F  0.4966  0.9883  0.7469
Sn  0.5000  0.0000  0.5000
Sn  0.0000  0.0000  0.0000
N  0.7578  0.2560  0.4544
N  0.7422  0.2560  0.9544
N  0.2578  0.7440  0.0456
N  0.2422  0.7440  0.5456

Properties
Its space-group type is P2_1/c, No. 14. As for the total energy: -5.0182 eV/atom. The value obtained for the magnetic moment is 0.00 μB per cell.

***

No. 11
DFT (PBE-GGA) results for crystalline SnH3NF3 at its relaxed geometry.

a = 8.3536 Å, b = 8.3536 Å, c = 5.9561 Å
α = 79.26°, β = 79.26°, γ = 100.45°
Element x y z (fractional)
H  0.6703  0.3363  0.0069
H  0.2896  0.4918  0.8659
H  0.6292  0.1554  0.3704
H  0.3363  0.6703  0.5069
H  0.7104  0.5082  0.1341
H  0.3708  0.8446  0.6296
H  0.5082  0.7104  0.6341
H  0.6637  0.3297  0.4931
H  0.1554  0.6292  0.8704
H  0.8446  0.3708  0.1296
H  0.3297  0.6637  0.9931
H  0.4918  0.2896  0.3659
F  0.0131  0.3326  0.1564
F  0.3141  0.3293  0.7467
F  0.6707  0.6859  0.7533
F  0.1724  0.5586  0.4161
F  0.6674  0.9869  0.3436
F  0.4414  0.8276  0.0839
F  0.8276  0.4414  0.5839
F  0.3326  0.0131  0.6564
F  0.6859  0.6707  0.2533
F  0.5586  0.1724  0.9161
F  0.9869  0.6674  0.8436
F  0.3293  0.3141  0.2467
Sn  0.2960  0.0936  0.9800
Sn  0.7040  0.9064  0.0200
Sn  0.9064  0.7040  0.5200
Sn  0.0936  0.2960  0.4800
N  0.7177  0.3831  0.1384
N  0.6169  0.2823  0.3616
N  0.2823  0.6169  0.8616
N  0.3831  0.7177  0.6384

Properties
Its space-group type is C2/c, No. 15. As for the total energy: -4.9032 eV/atom. The value obtained for the magnetic moment is 0.00 μB per cell.

***

No. 12
DFT (PBE-GGA) results for crystalline SnH4NF3 at its relaxed geometry.

a = 6.6499 Å, b = 5.4516 Å, c = 5.9614 Å
α = 90.00°, β = 86.42°, γ = 90.00°
Element x y z (fractional)
F  0.1971  0.7568  0.7775
F  0.3269  0.7359  0.2965
F  0.4146  0.1832  0.9693
F  0.6973  0.0212  0.2774
F  0.8268  0.0421  0.7964
F  0.9146  0.5944  0.4694
N  0.5421  0.3884  0.5396
N  0.0422  0.3893  0.0396
H  0.5754  0.2367  0.4357
H  0.4389  0.5048  0.4698
H  0.9389  0.2730  0.9698
H  0.6783  0.4825  0.5458
H  0.1784  0.2951  0.0458
H  0.0755  0.5411  0.9358
H  0.4924  0.3292  0.6988
H  0.9925  0.4485  0.1989
Sn  0.5534  0.8415  0.0170
Sn  0.0533  0.9363  0.5170

Properties
Its space-group type is Pc, No. 7. As for the total energy: -4.8843 eV/atom. The value obtained for the magnetic moment is 0.00 μB per cell.

***

No. 13
DFT (PBE-GGA) results for crystalline SnH6N2F at its relaxed geometry.

a = 5.8047 Å, b = 5.8047 Å, c = 6.2950 Å
α = 102.88°, β = 102.88°, γ = 88.25°
Element x y z (fractional)
H  0.1978  0.5764  0.4489
H  0.5764  0.1978  0.9489
H  0.4623  0.2016  0.6817
H  0.8022  0.4236  0.5511
H  0.0586  0.5256  0.7375
H  0.5377  0.7984  0.3183
H  0.9414  0.4744  0.2625
H  0.5256  0.0586  0.2375
H  0.7984  0.5377  0.8183
H  0.4744  0.9414  0.7625
H  0.2016  0.4623  0.1817
H  0.4236  0.8022  0.0511
Sn  0.9579  0.0421  0.7500
Sn  0.0421  0.9579  0.2500
F  0.6548  0.3452  0.2500
F  0.3452  0.6548  0.7500
N  0.1029  0.5601  0.2847
N  0.4399  0.8971  0.2153
N  0.8971  0.4399  0.7153
N  0.5601  0.1029  0.7847

Properties
Its space-group type is C2/c, No. 15. As for the total energy: -4.8378 eV/atom. The value obtained for the magnetic moment is 0.00 μB per cell.

***

No. 14
DFT (PBE-GGA) results for crystalline SrHNF2 at its relaxed geometry.

a = 4.6848 Å, b = 4.6848 Å, c = 6.2326 Å
α = 90.00°, β = 90.00°, γ = 90.00°
Element x y z (fractional)
Sr  0.0000  0.0000  0.0000
F  0.0000  0.5000  0.0000
F  0.5000  0.0000  0.0000
H  0.5000  0.5000  0.5000
N  0.0000  0.0000  0.5000

Properties
Its space-group type is P4/mmm, No. 123. For the offset from the most stable computed form, the calculation gives 532 meV/atom. The value obtained for the magnetic moment is 4.03 μB per cell.

***

No. 15
DFT (PBE-GGA) results for crystalline SrHNF2 at its relaxed geometry.

a = 4.2857 Å, b = 4.2857 Å, c = 3.0078 Å
α = 90.00°, β = 90.00°, γ = 90.00°
Element x y z (fractional)
H  0.0000  0.0000  0.0000
Sr  0.5000  0.5000  0.5000
F  0.0000  0.5000  0.0000
F  0.5000  0.0000  0.0000
N  0.0000  0.0000  0.5000

Properties
Its space-group type is P4/mmm, No. 123. For the offset from the most stable computed form, the calculation gives 0 meV/atom. The value obtained for the magnetic moment is 2.00 μB per cell.

***

No. 16
DFT (PBE-GGA) results for crystalline TaHN2F at its relaxed geometry.

a = 3.3109 Å, b = 3.6378 Å, c = 3.3109 Å
α = 90.00°, β = 90.00°, γ = 90.00°
Element x y z (fractional)
N  0.5000  0.0000  0.0000
N  0.0000  0.0000  0.5000
H  0.0000  0.0000  0.0000
Ta  0.0000  0.5000  0.0000
F  0.5000  0.5000  0.5000

Properties
Its space-group type is P4/mmm, No. 123. For the offset from the most stable computed form, the calculation gives 745 meV/atom. The value obtained for the magnetic moment is 0.00 μB per cell.

***

No. 17
DFT (PBE-GGA) results for crystalline TaHN2F at its relaxed geometry.

a = 3.4885 Å, b = 3.4885 Å, c = 3.1223 Å
α = 90.00°, β = 90.00°, γ = 90.00°
Element x y z (fractional)
Ta  0.5000  0.5000  0.5000
F  0.0000  0.0000  0.5000
H  0.0000  0.0000  0.0000
N  0.0000  0.5000  0.0000
N  0.5000  0.0000  0.0000

Properties
Its space-group type is P4/mmm, No. 123. For the offset from the most stable computed form, the calculation gives 358 meV/atom. The value obtained for the magnetic moment is 0.38 μB per cell.

***

No. 18
DFT (PBE-GGA) results for crystalline TaHN2F at its relaxed geometry.

a = 4.0214 Å, b = 4.0214 Å, c = 4.1166 Å
α = 90.00°, β = 90.00°, γ = 90.00°
Element x y z (fractional)
F  0.0000  0.0000  0.5000
H  0.5000  0.5000  0.5000
N  0.5000  0.0000  0.0000
N  0.0000  0.5000  0.0000
Ta  0.0000  0.0000  0.0000

Properties
Its space-group type is P4/mmm, No. 123. For the offset from the most stable computed form, the calculation gives 0 meV/atom. The value obtained for the magnetic moment is 0.40 μB per cell.

***

No. 19
DFT (PBE-GGA) results for crystalline TcHNF2 at its relaxed geometry.

a = 4.1017 Å, b = 4.1017 Å, c = 3.7387 Å
α = 90.00°, β = 90.00°, γ = 90.00°
Element x y z (fractional)
H  0.5000  0.5000  0.5000
Tc  0.0000  0.0000  0.0000
F  0.0000  0.5000  0.0000
F  0.5000  0.0000  0.0000
N  0.0000  0.0000  0.5000

Properties
Its space-group type is P4/mmm, No. 123. For the offset from the most stable computed form, the calculation gives 0 meV/atom. The value obtained for the magnetic moment is 1.70 μB per cell.

***

No. 20
DFT (PBE-GGA) results for crystalline TcHN2F at its relaxed geometry.

a = 3.8036 Å, b = 3.8036 Å, c = 4.1467 Å
α = 90.00°, β = 90.00°, γ = 90.00°
Element x y z (fractional)
N  0.5000  0.0000  0.0000
N  0.0000  0.5000  0.0000
F  0.0000  0.0000  0.5000
Tc  0.0000  0.0000  0.0000
H  0.5000  0.5000  0.5000

Properties
Its space-group type is P4/mmm, No. 123. For the offset from the most stable computed form, the calculation gives 0 meV/atom. The value obtained for the magnetic moment is 0.88 μB per cell.